No. 1
Here is a geometry-optimized Ca2MgZn3 structure from Alexandria via LeMat-Bulk. Energies are from PBEsol.

SG: No. 194
Relative energy among the computed polymorphs (meV per atom): 44.2

```
Ca2MgZn3
1.0
4.9454 0.0000 0.0000
-2.4727 4.2829 0.0000
0.0000 0.0000 12.3515
Ca Zn Mg
4 6 2
Cartesian
0.0000 2.8552 5.0066
2.4727 1.4276 11.1823
2.4727 1.4276 7.3449
0.0000 2.8552 1.1692
0.0000 2.8552 8.0678
0.0000 0.0000 6.1757
0.0000 0.0000 0.0000
2.4727 1.4276 4.2837
0.0000 2.8552 10.4594
2.4727 1.4276 1.8921
0.0000 0.0000 3.0879
0.0000 0.0000 9.2636
```


No. 2
Here is a geometry-optimized CaMg4Zn2 structure from Alexandria via LeMat-Bulk. Energies are from PBEsol.

SG: No. 139
Relative energy among the computed polymorphs (meV per atom): 62.4

```
CaMg4Zn2
1.0
5.5586 0.0000 0.0000
2.7793 5.1564 0.0000
2.7793 0.0000 5.1564
Zn Mg Ca
2 4 1
Cartesian
4.1689 2.5782 2.5782
6.9482 2.5782 2.5782
2.7793 0.0000 2.0268
5.5586 0.0000 3.1296
5.5586 3.1296 0.0000
2.7793 2.0268 0.0000
0.0000 0.0000 0.0000
```


No. 3
Here is a geometry-optimized Ca2MgZn structure from Alexandria via LeMat-Bulk. Energies are from PBEsol.

SG: No. 99
Relative energy among the computed polymorphs (meV per atom): 33.4

```
Ca2MgZn
1.0
-0.2465 -0.6049 -3.5398
-0.5571 -3.4987 0.6367
-8.3853 1.3980 0.3449
Zn Ca Mg
1 2 1
Cartesian
-6.4193 -1.0486 -1.2040
-7.8557 1.3097 0.3231
-2.8338 -1.6464 -1.3515
-4.6582 0.7766 0.1916
```


No. 4
Here is a geometry-optimized CaMgZn2 structure from Alexandria via LeMat-Bulk. Energies are from PBEsol.

SG: No. 194

```
CaMgZn2
1.0
4.9102 0.0000 0.0000
-2.4551 4.2523 0.0000
0.0000 0.0000 7.9711
Zn Ca Mg
4 2 2
Cartesian
0.0000 2.8349 0.7855
2.4551 1.4174 7.1856
2.4551 1.4174 4.7711
0.0000 2.8349 3.2001
0.0000 0.0000 3.9856
0.0000 0.0000 0.0000
0.0000 2.8349 5.9783
2.4551 1.4174 1.9928
```


No. 5
Here is a geometry-optimized CaMg3Zn3 structure from Alexandria via LeMat-Bulk. Energies are from PBEsol.

SG: No. 11

```
CaMg3Zn3
1.0
-1.1058 2.3182 3.8780
3.7744 -5.8042 4.5459
4.4011 6.5322 -2.6499
Zn Mg Ca
6 6 2
Cartesian
5.7801 3.5605 0.9145
4.4204 -1.0407 6.0669
1.2896 -0.5143 4.8595
3.3173 1.3800 1.5157
2.6494 4.0868 -0.2928
3.7525 1.6662 4.2583
2.1681 -2.6242 6.3712
6.1863 0.9546 5.3776
1.1393 1.8228 3.4195
4.9016 5.6704 -0.5972
0.8834 2.0915 0.3964
5.9304 1.2234 2.3545
3.3899 4.1739 2.6559
3.6798 -1.1277 3.1182
```


No. 6
Here is a geometry-optimized Ca2MgZn structure from Alexandria via LeMat-Bulk. Energies are from PBEsol.

SG: No. 63
Relative energy among the computed polymorphs (meV per atom): 0.0

```
Ca2MgZn
1.0
-3.2460 -0.3237 1.4902
4.3765 -0.6305 5.0806
-0.2847 9.2946 1.3987
Ca Zn Mg
4 2 2
Cartesian
1.9033 3.5061 4.9075
2.0115 -0.0263 4.3759
-1.1657 8.3668 3.5936
-1.0575 4.8343 3.0620
1.2826 6.5404 4.2144
-0.4368 1.8000 3.7550
0.5820 6.1132 6.9111
0.2638 2.2273 1.0583
```


No. 7
Here is a geometry-optimized CaMg2Zn structure from Alexandria via LeMat-Bulk. Energies are from PBEsol.

SG: No. 71

```
CaMg2Zn
1.0
-1.8510 -2.7560 -1.2140
-0.5722 -1.7452 4.8341
-3.1193 4.9551 -1.3462
Mg Zn Ca
2 1 1
Cartesian
-2.4774 1.5471 0.2653
-3.0651 -1.0931 2.0085
-0.2861 -0.8726 2.4171
-0.9255 -1.3780 -0.6070
```


No. 8
Here is a geometry-optimized Ca2MgZn2 structure from Alexandria via LeMat-Bulk. Energies are from PBEsol.

SG: No. 12

```
Ca2MgZn2
1.0
5.0750 0.0158 -0.0032
2.2244 4.5616 -0.0032
2.4663 1.5466 5.1779
Ca Mg Zn
2 1 2
Cartesian
2.5235 1.5825 1.6081
7.2422 4.5415 3.5634
0.0000 0.0000 0.0000
4.6912 2.9418 3.8039
5.0744 3.1822 1.3676
```


No. 9
Here is a geometry-optimized Ca2MgZn3 structure from Alexandria via LeMat-Bulk. Energies are from PBEsol.

SG: No. 166
Relative energy among the computed polymorphs (meV per atom): 0.0

```
Ca2MgZn3
1.0
5.6132 0.0191 0.0136
2.7621 4.8866 0.0136
2.7621 1.6179 4.6110
Zn Ca Mg
3 2 1
Cartesian
2.7621 3.2522 2.3123
4.1876 0.8185 2.3123
4.1876 2.4529 0.0136
9.7730 5.7245 4.0701
1.3643 0.7991 0.5682
5.5687 3.2618 2.3191
```


No. 10
Here is a geometry-optimized CaMgZn2 structure from Alexandria via LeMat-Bulk. Energies are from PBEsol.

SG: No. 123

```
CaMgZn2
1.0
-0.8173 2.3136 2.3618
-2.3258 -2.1316 1.2833
4.8304 -2.6823 4.2991
Zn Ca Mg
2 1 1
Cartesian
1.3833 -0.7681 1.2311
3.4471 -1.9142 3.0680
-1.5715 0.0910 1.8225
0.8437 -1.2502 3.9721
```


No. 11
Here is a geometry-optimized CaMgZn structure from Alexandria via LeMat-Bulk. Energies are from PBEsol.

SG: No. 194

```
CaMgZn
1.0
4.8397 0.0000 0.0000
-2.4199 4.1913 0.0000
0.0000 0.0000 7.0839
Ca Zn Mg
2 2 2
Cartesian
0.0000 0.0000 3.5419
0.0000 0.0000 0.0000
2.4199 1.3971 1.7710
0.0000 2.7942 5.3129
0.0000 2.7942 1.7710
2.4199 1.3971 5.3129
```


No. 12
Here is a geometry-optimized Ca2MgZn2 structure from Alexandria via LeMat-Bulk. Energies are from PBEsol.

SG: No. 15

```
Ca2MgZn2
1.0
-0.8732 -4.5155 3.6993
5.2112 0.6322 -2.7069
0.8189 5.1567 6.4879
Mg Zn Ca
2 4 4
Cartesian
0.0813 0.6511 2.1447
-0.1356 -0.0098 8.0424
1.0217 -1.7377 6.1467
3.1105 -2.7493 0.6964
4.1353 3.0111 1.3335
2.0464 4.0227 6.7839
0.9672 -2.6391 3.0872
1.6310 1.2547 5.2534
3.5259 0.0187 2.2268
4.1897 3.9126 4.3931
```


No. 13
Here is a geometry-optimized Ca2MgZn structure from Alexandria via LeMat-Bulk. Energies are from PBEsol.

SG: No. 139
Relative energy among the computed polymorphs (meV per atom): 30.2

```
Ca2MgZn
1.0
-2.4475 -2.6877 -3.3832
2.8720 -3.9169 1.0340
-5.9660 0.7231 7.3861
Ca Zn Mg
4 2 2
Cartesian
1.4360 -1.9585 0.5170
-1.5732 -4.1027 0.7529
-1.2238 -1.3438 -1.6916
-3.9683 -1.7788 4.2840
-4.1006 -2.6335 1.4142
-1.4408 -3.2481 3.6227
-3.7712 -5.0880 3.1258
-1.7702 -0.7935 1.9111
```


No. 14
Here is a geometry-optimized Ca4MgZn structure from Alexandria via LeMat-Bulk. Energies are from PBEsol.

SG: No. 51

```
Ca4MgZn
1.0
-3.3022 -1.1403 -1.5209
1.6103 -8.7832 3.0892
-5.0007 2.2963 9.1356
Ca Mg Zn
8 2 2
Cartesian
-2.5004 1.1481 4.5678
-3.4325 -5.1576 6.5468
-1.4861 -3.2842 0.9163
0.0000 0.0000 0.0000
-5.1890 -0.0078 6.4992
-5.2064 -4.3431 9.7875
-3.2600 -2.4697 4.1570
-1.5036 -7.6195 4.2047
-3.0568 -2.0617 8.1825
-0.3336 -4.4253 4.0422
-2.3814 -5.7453 9.4781
-1.0090 -0.7416 2.7467
```


No. 15
Here is a geometry-optimized Ca2MgZn structure from Alexandria via LeMat-Bulk. Energies are from PBEsol.

SG: No. 225
Relative energy among the computed polymorphs (meV per atom): 9.2

```
Ca2MgZn
1.0
-4.4453 -2.9281 -0.0186
-1.6210 -2.3488 -4.4933
0.3005 -5.2914 -0.4954
Ca Mg Zn
2 1 1
Cartesian
-4.3244 -7.9262 -3.7555
-1.4415 -2.6421 -1.2518
0.0000 0.0000 0.0000
-2.8829 -5.2842 -2.5037
```


No. 16
Here is a geometry-optimized CaMgZn2 structure from Alexandria via LeMat-Bulk. Energies are from PBEsol.

SG: No. 216

```
CaMgZn2
1.0
4.7715 0.0000 0.0000
2.3858 4.1323 0.0000
2.3858 1.3774 3.8960
Ca Zn Mg
1 2 1
Cartesian
4.7715 2.7549 1.9480
2.3858 1.3774 0.9740
0.0000 0.0000 0.0000
7.1573 4.1323 2.9220
```


No. 17
Here is a geometry-optimized CaMg2Zn structure from Alexandria via LeMat-Bulk. Energies are from PBEsol.

SG: No. 129

```
CaMg2Zn
1.0
4.1335 0.0000 0.0000
0.0000 4.1335 0.0000
0.0000 0.0000 11.2138
Mg Zn Ca
4 2 2
Cartesian
0.0000 0.0000 5.6069
2.0667 2.0667 5.6069
2.0667 0.0000 0.7925
0.0000 2.0667 10.4213
0.0000 2.0667 7.5490
2.0667 0.0000 3.6648
0.0000 2.0667 2.7098
2.0667 0.0000 8.5039
```


No. 18
Here is a geometry-optimized CaMgZn structure from Alexandria via LeMat-Bulk. Energies are from PBEsol.

SG: No. 107

```
CaMgZn
1.0
3.4581 0.0000 0.0000
0.0000 3.4581 0.0000
-1.7291 -1.7291 5.8668
Mg Ca Zn
1 1 1
Cartesian
0.0000 0.0000 3.5764
0.0000 0.0000 0.1830
1.7291 1.7291 2.1073
```


No. 19
Here is a geometry-optimized Ca2MgZn structure from Alexandria via LeMat-Bulk. Energies are from PBEsol.

SG: No. 65
Relative energy among the computed polymorphs (meV per atom): 6.7

```
Ca2MgZn
1.0
3.8095 0.0000 0.0000
0.0000 5.3019 0.0301
0.0000 -0.0408 5.3018
Zn Mg Ca
1 1 2
Cartesian
1.9047 2.6305 2.6660
1.9047 0.0000 0.0000
0.0000 2.6510 0.0150
0.0000 -0.0204 2.6509
```


No. 20
Here is a geometry-optimized CaMgZn structure from Alexandria via LeMat-Bulk. Energies are from PBEsol.

SG: No. 129

```
CaMgZn
1.0
4.3617 0.0000 0.0000
0.0000 4.3617 0.0000
0.0000 0.0000 7.6477
Zn Mg Ca
2 2 2
Cartesian
2.1808 0.0000 5.6249
0.0000 2.1808 2.0228
0.0000 0.0000 3.8239
2.1808 2.1808 3.8239
2.1808 0.0000 1.1400
0.0000 2.1808 6.5077
```


Number 1: total energy -1.955 eV per atom, ΔE_f -0.167 eV per atom. Number 2: total energy -1.758 eV per atom, ΔE_f -0.020 eV per atom. Number 3: total energy -1.979 eV per atom, ΔE_f -0.088 eV per atom. Number 4: total energy -1.900 eV per atom, ΔE_f -0.146 eV per atom. Number 5: total energy -1.825 eV per atom, ΔE_f -0.106 eV per atom. Number 6: total energy -2.013 eV per atom, ΔE_f -0.121 eV per atom. Number 7: total energy -1.868 eV per atom, ΔE_f -0.080 eV per atom. Number 8: total energy -1.981 eV per atom, ΔE_f -0.151 eV per atom. Number 9: total energy -1.999 eV per atom, ΔE_f -0.211 eV per atom. Number 10: total energy -1.897 eV per atom, ΔE_f -0.144 eV per atom. Number 11: total energy -1.933 eV per atom, ΔE_f -0.122 eV per atom. Number 12: total energy -2.036 eV per atom, ΔE_f -0.207 eV per atom. Number 13: total energy -1.983 eV per atom, ΔE_f -0.091 eV per atom. Number 14: total energy -1.996 eV per atom, ΔE_f -0.024 eV per atom. Number 15: total energy -2.004 eV per atom, ΔE_f -0.112 eV per atom. Number 16: total energy -1.834 eV per atom, ΔE_f -0.081 eV per atom. Number 17: total energy -1.915 eV per atom, ΔE_f -0.128 eV per atom. Number 18: total energy -1.941 eV per atom, ΔE_f -0.130 eV per atom. Number 19: total energy -2.006 eV per atom, ΔE_f -0.115 eV per atom. Number 20: total energy -1.990 eV per atom, ΔE_f -0.179 eV per atom.